Entry from the Alexandria database: a relaxed structure of SiRhPb2 (PBE-GGA).

Results
Total magnetization = 0.00 μB/atom
Raw formation energy = 0.3879 eV per atom
Space-group type = C2/m (12)
DFT total energy = -4.660 eV/atom
Volume = 86 Å³/cell
DOS at the Fermi energy = 0.626 states/eV per atom

```
SiRhPb2
1.0
3.318 -3.909 0.000
3.318 3.909 0.000
-0.121 0.000 3.306
Si Rh Pb
1 1 2
direct
0.000 0.000 0.000
0.500 0.500 0.000
0.000 0.500 0.500
0.500 0.000 0.500
```